Record 1
A plane-wave DFT calculation with PBE was carried out for a relaxed Dy2Ho5Zr crystal.

Values from the calculation:
* calculated formation energy: 0.1350 eV/atom
* electronic total energy: -4.945 eV per atom

a = 5.4652 Å, b = 6.4653 Å, c = 15.2841 Å
α = 90.00°, β = 90.00°, γ = 115.00°
Closest atoms and distances in Å follow each position.
Atoms (fractional coordinates):
1 Zr 0.2704 0.5408 0.2500  5 Ho 3.11-3.28, 4 Dy 3.25
2 Zr 0.7296 0.4592 0.7500  5 Ho 3.11-3.28, 4 Dy 3.25
3 Dy 0.2215 0.4429 0.6346  5 Ho 3.23-3.56, 2 Zr 3.25, 1 Dy 3.53
4 Dy 0.2215 0.4429 0.8654  5 Ho 3.23-3.56, 2 Zr 3.25, 1 Dy 3.53
5 Dy 0.7785 0.5571 0.1346  5 Ho 3.23-3.56, 2 Zr 3.25, 1 Dy 3.53
6 Dy 0.7785 0.5571 0.3654  5 Ho 3.23-3.56, 2 Zr 3.25, 1 Dy 3.53
7 Ho 0.6219 0.2438 0.5516  3 Dy 3.23-3.39, 5 Ho 3.26-3.61, 1 Zr 3.28
8 Ho 0.9208 0.8415 0.5996  1 Zr 3.21, 1 Dy 3.56, 2 Ho 3.57-3.58
9 Ho 0.6219 0.2438 0.9484  3 Dy 3.23-3.39, 5 Ho 3.26-3.61, 1 Zr 3.28
10 Ho 0.9208 0.8415 0.9004  1 Zr 3.21, 1 Dy 3.56, 2 Ho 3.57-3.58
11 Ho 0.4646 0.9292 0.7500  1 Zr 3.11, 2 Dy 3.35
12 Ho 0.0792 0.1585 0.4004  1 Zr 3.21, 1 Dy 3.56, 2 Ho 3.57-3.58
13 Ho 0.3781 0.7562 0.4484  3 Dy 3.23-3.39, 5 Ho 3.26-3.61, 1 Zr 3.28
14 Ho 0.0792 0.1585 0.0996  1 Zr 3.21, 1 Dy 3.56, 2 Ho 3.57-3.58
15 Ho 0.3781 0.7562 0.0516  3 Dy 3.23-3.39, 5 Ho 3.26-3.61, 1 Zr 3.28
16 Ho 0.5354 0.0708 0.2500  1 Zr 3.11, 2 Dy 3.35

=====

Record 2
A plane-wave DFT calculation with PBE was carried out for a relaxed ScWSe2 crystal.

Values from the calculation:
* energy relative to the elements, uncorrected: -0.57 eV per atom
* electronic total energy: -7.131 eV per atom

a = 3.4425 Å, b = 3.4425 Å, c = 6.6341 Å
α = 90.00°, β = 90.00°, γ = 90.00°
Closest atoms and distances in Å follow each position.
Atoms (fractional coordinates):
1 W 0.0000 0.0000 0.4964  5 Se 2.68-2.77
2 Sc 0.5000 0.5000 0.7617  5 Se 2.63-2.87
3 Se 0.0000 0.0000 0.9133  4 Sc 2.63, 1 W 2.77
4 Se 0.5000 0.5000 0.3286  4 W 2.68, 1 Sc 2.87

=====

Record 3
A plane-wave DFT calculation with PBE was carried out for a relaxed TiSi4Os5 crystal.

Values from the calculation:
* energy relative to the elements, uncorrected: -0.42 eV per atom
* electronic total energy: -8.992 eV per atom

a = 2.9832 Å, b = 2.9832 Å, c = 14.9289 Å
α = 90.00°, β = 90.00°, γ = 90.00°
Closest atoms and distances in Å follow each position.
Atoms (fractional coordinates):
1 Si 0.0000 0.0000 0.5985  8 Os 2.57
2 Si 0.0000 0.0000 0.4015  8 Os 2.57
3 Si 0.0000 0.0000 0.7968  8 Os 2.55-2.58
4 Si 0.0000 0.0000 0.2032  8 Os 2.55-2.58
5 Os 0.5000 0.5000 0.8924  4 Si 2.55, 4 Ti 2.65
6 Os 0.5000 0.5000 0.5000  8 Si 2.57
7 Os 0.5000 0.5000 0.6969  8 Si 2.57-2.58
8 Os 0.5000 0.5000 0.1076  4 Si 2.55, 4 Ti 2.65
9 Os 0.5000 0.5000 0.3031  8 Si 2.57-2.58
10 Ti 0.0000 0.0000 0.0000  8 Os 2.65

=====

Record 4
A plane-wave DFT calculation with PBE was carried out for a relaxed RbSr2P crystal.

Values from the calculation:
* calculated formation energy: -0.3295 eV/atom
* electronic total energy: -2.765 eV per atom

a = 10.3238 Å, b = 10.3238 Å, c = 8.1730 Å
α = 50.83°, β = 50.83°, γ = 90.00°
Closest atoms and distances in Å follow each position.
Atoms (fractional coordinates):
1 Rb 0.0000 0.0000 0.0000  2 P 3.68, 4 Sr 3.96
2 Rb 0.7500 0.2500 0.5000  2 P 3.68, 4 Sr 3.96
3 Sr 0.3750 0.5086 0.7500  2 P 2.99
4 Sr 0.2586 0.6250 0.2500  2 P 2.99
5 Sr 0.4914 0.1250 0.2500  2 P 2.99
6 Sr 0.8750 0.7414 0.7500  2 P 2.99
7 P 0.5000 0.5000 0.0000  4 Sr 2.99
8 P 0.2500 0.7500 0.5000  4 Sr 2.99

=====

Record 5
A plane-wave DFT calculation with PBE was carried out for a relaxed Ta2NbHgIr crystal.

Values from the calculation:
* calculated formation energy: 1.2864 eV/atom
* electronic total energy: -7.301 eV per atom

a = 4.8172 Å, b = 5.0096 Å, c = 4.8172 Å
α = 90.00°, β = 90.00°, γ = 90.00°
Closest atoms and distances in Å follow each position.
Atoms (fractional coordinates):
1 Nb 0.5000 0.5000 0.5000  4 Hg 3.41, 8 Ta 3.47
2 Ta 0.5000 0.0000 0.0000  2 Ir 2.41
3 Ta 0.0000 0.0000 0.5000  2 Ir 2.41
4 Ir 0.0000 0.0000 0.0000  4 Ta 2.41, 2 Hg 2.50
5 Hg 0.0000 0.5000 0.0000  2 Ir 2.50

=====

Record 6
A plane-wave DFT calculation with PBE was carried out for a relaxed PrSmP crystal.

Values from the calculation:
* calculated formation energy: -0.8585 eV/atom
* electronic total energy: -5.828 eV per atom

a = 4.8688 Å, b = 4.8688 Å, c = 4.8688 Å
α = 60.00°, β = 60.00°, γ = 60.00°
Closest atoms and distances in Å follow each position.
Atoms (fractional coordinates):
1 Pr 0.0000 0.0000 0.0000  4 P 2.98
2 Sm 0.5000 0.5000 0.5000  4 P 2.98
3 P 0.2500 0.2500 0.2500  4 Pr 2.98, 4 Sm 2.98

=====

Record 7
A plane-wave DFT calculation with PBE was carried out for a relaxed SrCu2Ir crystal.

Values from the calculation:
* calculated formation energy: 0.2965 eV/atom
* electronic total energy: -4.387 eV per atom

a = 4.4484 Å, b = 4.4484 Å, c = 3.4988 Å
α = 90.00°, β = 90.00°, γ = 89.99°
Closest atoms and distances in Å follow each position.
Atoms (fractional coordinates):
1 Cu 0.5000 0.5000 0.0000  4 Ir 2.83, 4 Sr 2.83, 4 Cu 3.15
2 Cu 0.0000 0.0000 0.0000  4 Sr 2.83, 4 Ir 2.83, 4 Cu 3.15
3 Sr 0.0000 0.5000 0.5000  8 Cu 2.83, 4 Ir 3.15
4 Ir 0.5000 0.0000 0.5000  8 Cu 2.83, 4 Sr 3.15

=====

Record 8
A plane-wave DFT calculation with PBE was carried out for a relaxed Ca5Pt7 crystal.

Values from the calculation:
* calculated formation energy: -0.6387 eV/atom
* electronic total energy: -4.996 eV per atom

a = 5.8685 Å, b = 4.6067 Å, c = 8.8373 Å
α = 90.00°, β = 90.00°, γ = 90.00°
Closest atoms and distances in Å follow each position.
Atoms (fractional coordinates):
1 Ca 0.9466 0.0000 0.6616  7 Pt 2.88-3.05, 3 Ca 3.04-3.22
2 Ca 0.2621 0.5000 0.5162  7 Pt 2.80-2.99
3 Ca 0.2621 0.5000 0.1505  7 Pt 2.80-2.99
4 Ca 0.5924 0.0000 0.3333  8 Pt 2.89-3.17
5 Ca 0.9466 0.0000 0.0051  7 Pt 2.88-3.05, 3 Ca 3.04-3.22
6 Pt 0.7255 0.5000 0.8333  3 Pt 2.74-2.95, 4 Ca 3.05
7 Pt 0.2585 0.5000 0.8333  5 Pt 2.74-2.91, 2 Ca 2.80
8 Pt 0.7523 0.5000 0.1662  6 Ca 2.88-2.99, 2 Pt 2.95
9 Pt 0.7523 0.5000 0.5005  6 Ca 2.88-2.99, 2 Pt 2.95
10 Pt 0.4572 0.0000 0.6812  3 Pt 2.69-2.91, 4 Ca 2.88-3.00
11 Pt 0.4572 0.0000 0.9855  3 Pt 2.69-2.91, 4 Ca 2.88-3.00
12 Pt 0.0873 0.0000 0.3333  8 Ca 2.90-3.02

=====

Record 9
A plane-wave DFT calculation with PBE was carried out for a relaxed Pm7TmPb2 crystal.

Values from the calculation:
* calculated formation energy: 0.2607 eV/atom
* electronic total energy: -4.254 eV per atom

a = 5.5153 Å, b = 9.2645 Å, c = 9.2645 Å
α = 119.42°, β = 90.00°, γ = 90.00°
Closest atoms and distances in Å follow each position.
Atoms (fractional coordinates):
1 Pm 0.0000 0.2220 0.7780  2 Pb 3.06
2 Pm 0.5000 0.0608 0.3009  2 Pb 3.22-3.40, 2 Pm 3.38-3.55
3 Pm 0.5000 0.3009 0.0609  2 Pb 3.22-3.40, 2 Pm 3.38-3.55
4 Pm 0.5000 0.6991 0.9391  2 Pb 3.22-3.40, 2 Pm 3.38-3.55
5 Pm 0.0000 0.7780 0.2220  2 Pb 3.06
6 Pm 0.5000 0.5000 0.5000  2 Pb 3.12
7 Pm 0.5000 0.9392 0.6991  2 Pb 3.22-3.40, 2 Pm 3.38-3.55
8 Pb 0.5000 0.3047 0.6953  7 Pm 3.06-3.40
9 Pb 0.5000 0.6953 0.3047  7 Pm 3.06-3.40
10 Tm 0.0000 0.0000 0.0000  10 Pm 3.55-3.76

=====

Record 10
A plane-wave DFT calculation with PBE was carried out for a relaxed HoCuSn2Pd4 crystal.

Values from the calculation:
* calculated formation energy: -0.6051 eV/atom
* electronic total energy: -5.286 eV per atom

a = 4.6417 Å, b = 4.6417 Å, c = 8.1055 Å
α = 73.36°, β = 73.36°, γ = 60.00°
Closest atoms and distances in Å follow each position.
Atoms (fractional coordinates):
1 Sn 0.7521 0.7521 0.7436  7 Pd 2.75-2.85
2 Sn 0.2479 0.2479 0.2564  7 Pd 2.75-2.85
3 Cu 0.5000 0.5000 0.5000  8 Pd 2.60-2.82
4 Pd 0.3869 0.3869 0.8393  1 Cu 2.60, 3 Sn 2.78
5 Pd 0.6131 0.6131 0.1607  1 Cu 2.60, 3 Sn 2.78
6 Pd 0.1280 0.1280 0.6161  4 Sn 2.75-2.85, 3 Cu 2.82, 1 Ho 2.94
7 Pd 0.8720 0.8720 0.3839  4 Sn 2.75-2.85, 3 Cu 2.82, 1 Ho 2.94
8 Ho 0.0000 0.0000 0.0000  8 Pd 2.94-2.95

=====

Record 11
A plane-wave DFT calculation with PBE was carried out for a relaxed PrVFeP2 crystal.

Values from the calculation:
* calculated formation energy: -0.8927 eV/atom
* electronic total energy: -7.529 eV per atom

a = 3.8724 Å, b = 3.8724 Å, c = 6.2051 Å
α = 108.18°, β = 108.18°, γ = 90.00°
Closest atoms and distances in Å follow each position.
Atoms (fractional coordinates):
1 V 0.7500 0.2500 0.5000  4 P 2.31
2 Pr 0.0000 0.0000 0.0000  8 P 3.13, 4 Fe 3.39, 4 V 3.39
3 P 0.3637 0.3637 0.7275  2 Fe 2.31, 2 V 2.31
4 P 0.6363 0.6363 0.2725  2 Fe 2.31, 2 V 2.31
5 Fe 0.2500 0.7500 0.5000  4 P 2.31

=====

Record 12
A plane-wave DFT calculation with PBE was carried out for a relaxed NaCoN crystal.

Values from the calculation:
* energy relative to the elements, uncorrected: 0.27 eV per atom
* electronic total energy: -5.315 eV per atom

a = 2.6270 Å, b = 2.6270 Å, c = 5.3110 Å
α = 104.32°, β = 104.32°, γ = 90.00°
Closest atoms and distances in Å follow each position.
Atoms (fractional coordinates):
1 Na 0.0142 0.0142 0.0284  1 Co 2.59, 4 Na 2.63, 4 N 2.70
2 N 0.7110 0.7110 0.4220  4 Co 1.96
3 Co 0.2748 0.2748 0.5496  4 N 1.96

=====

Record 13
A plane-wave DFT calculation with PBE was carried out for a relaxed ZnSbTe2Ir crystal.

Values from the calculation:
* energy relative to the elements, uncorrected: 1.19 eV per atom
* electronic total energy: -2.918 eV per atom

a = 5.1227 Å, b = 5.1227 Å, c = 4.9765 Å
α = 90.00°, β = 90.00°, γ = 90.00°
Closest atoms and distances in Å follow each position.
Atoms (fractional coordinates):
1 Zn 0.0000 0.0000 0.0000  2 Sb 2.49, 4 Te 2.56
2 Sb 0.0000 0.0000 0.5000  2 Zn 2.49
3 Te 0.5000 0.0000 0.0000  2 Zn 2.56
4 Te 0.0000 0.5000 0.0000  2 Zn 2.56
5 Ir 0.5000 0.5000 0.5000  8 Te 3.57, 4 Sb 3.62

=====

Record 14
A plane-wave DFT calculation with PBE was carried out for a relaxed Rb2MgTlBr6 crystal.

Values from the calculation:
* energy relative to the elements, uncorrected: -1.28 eV per atom
* electronic total energy: -2.870 eV per atom

a = 7.9713 Å, b = 7.9713 Å, c = 7.9725 Å
α = 60.01°, β = 60.01°, γ = 90.00°
Closest atoms and distances in Å follow each position.
Atoms (fractional coordinates):
1 Rb 0.2500 0.7500 0.5000  12 Br 3.99
2 Rb 0.7500 0.2500 0.5000  12 Br 3.99
3 Tl 0.0000 0.0000 0.0000  6 Br 2.95
4 Br 0.2618 0.2618 0.0000  1 Mg 2.69, 1 Tl 2.95
5 Br 0.7382 0.7382 0.0000  1 Mg 2.69, 1 Tl 2.95
6 Br 0.2619 0.2619 0.4763  1 Mg 2.69, 1 Tl 2.95
7 Br 0.7381 0.7381 0.5237  1 Mg 2.69, 1 Tl 2.95
8 Br 0.2618 0.7382 0.0000  1 Mg 2.69, 1 Tl 2.95
9 Br 0.7382 0.2618 0.0000  1 Mg 2.69, 1 Tl 2.95
10 Mg 0.5000 0.5000 0.0000  6 Br 2.69

=====

Record 15
A plane-wave DFT calculation with PBE was carried out for a relaxed Lu2PaHg crystal.

Values from the calculation:
* calculated formation energy: 0.0812 eV/atom
* electronic total energy: -4.629 eV per atom

a = 4.4575 Å, b = 4.7852 Å, c = 4.7852 Å
α = 90.00°, β = 90.00°, γ = 90.00°
Closest atoms and distances in Å follow each position.
Atoms (fractional coordinates):
1 Lu 0.0000 0.0000 0.5000  4 Hg 3.27, 4 Pa 3.27, 4 Lu 3.38
2 Lu 0.0000 0.5000 0.0000  4 Hg 3.27, 4 Pa 3.27, 4 Lu 3.38
3 Pa 0.5000 0.5000 0.5000  8 Lu 3.27, 4 Hg 3.38
4 Hg 0.5000 0.0000 0.0000  8 Lu 3.27, 4 Pa 3.38

=====

Record 16
A plane-wave DFT calculation with PBE was carried out for a relaxed Tl5FeBr8 crystal.

Values from the calculation:
* energy relative to the elements, uncorrected: -0.72 eV per atom
* electronic total energy: -3.122 eV per atom

a = 9.4330 Å, b = 9.4330 Å, c = 9.4330 Å
α = 106.14°, β = 106.14°, γ = 116.37°
Closest atoms and distances in Å follow each position.
Atoms (fractional coordinates):
1 Tl 0.6420 0.5942 0.4856  3 Br 3.12-3.42
2 Tl 0.1086 0.1565 0.5144  3 Br 3.12-3.42
3 Tl 0.8435 0.3580 0.9522  3 Br 3.12-3.42
4 Tl 0.4058 0.8914 0.0478  3 Br 3.12-3.42
5 Tl 0.5000 0.5000 0.0000  4 Br 3.19
6 Br 0.5499 0.9055 0.7064  1 Fe 2.37
7 Br 0.1134 0.4158 0.8085  3 Tl 3.12-3.19
8 Br 0.5842 0.3927 0.6976  3 Tl 3.12-3.19
9 Br 0.1991 0.8435 0.2936  1 Fe 2.37
10 Br 0.1565 0.4501 0.3556  1 Fe 2.37
11 Br 0.6073 0.3049 0.1915  3 Tl 3.12-3.19
12 Br 0.0945 0.8009 0.6444  1 Fe 2.37
13 Br 0.6951 0.8866 0.3024  3 Tl 3.12-3.19
14 Fe 0.2500 0.7500 0.5000  4 Br 2.37

=====

Record 17
A plane-wave DFT calculation with PBE was carried out for a relaxed NaSrBe crystal.

Values from the calculation:
* calculated formation energy: 0.2987 eV/atom
* electronic total energy: -1.944 eV per atom

a = 8.7375 Å, b = 4.1101 Å, c = 11.4221 Å
α = 90.00°, β = 99.02°, γ = 90.00°
Closest atoms and distances in Å follow each position.
Atoms (fractional coordinates):
1 Sr 0.7397 0.0000 0.4684  3 Be 2.90-3.20
2 Sr 0.4243 0.5000 0.1991  6 Be 3.04-3.39
3 Sr 0.4243 0.0000 0.6991  6 Be 3.04-3.39
4 Sr 0.7397 0.5000 0.9684  3 Be 2.90-3.20
5 Be 0.4594 0.5000 0.4684  2 Be 2.15
6 Be 0.4594 0.0000 0.9684  2 Be 2.15
7 Be 0.4039 0.5000 0.9271  2 Be 2.15
8 Be 0.4039 0.0000 0.4271  2 Be 2.15
9 Na 0.0072 0.0000 0.2214  3 Na 3.42-3.45
10 Na 0.1425 0.5000 0.4538  1 Be 2.75
11 Na 0.1425 0.0000 0.9538  1 Be 2.75
12 Na 0.0072 0.5000 0.7214  3 Na 3.42-3.45

=====

Record 18
A plane-wave DFT calculation with PBE was carried out for a relaxed Cs2MnCu2I6 crystal.

Values from the calculation:
* energy relative to the elements, uncorrected: -0.70 eV per atom
* electronic total energy: -3.282 eV per atom

a = 8.2473 Å, b = 8.3361 Å, c = 8.7562 Å
α = 115.46°, β = 90.00°, γ = 119.65°
Closest atoms and distances in Å follow each position.
Atoms (fractional coordinates):
1 I 0.7386 0.4771 0.6815  1 Cu 2.54
2 I 0.2865 0.0503 0.7601  1 Cu 2.53
3 I 0.7135 0.9497 0.2399  1 Cu 2.53
4 I 0.7638 0.0503 0.7601  1 Cu 2.53
5 I 0.2362 0.9497 0.2399  1 Cu 2.53
6 I 0.2614 0.5229 0.3185  1 Cu 2.54
7 Mn 0.5000 0.0000 0.5000  6 I 2.89-3.01
8 Cs 0.2767 0.5535 0.7905  1 Cu 3.93, 9 I 4.03-4.22
9 Cs 0.7233 0.4465 0.2095  1 Cu 3.93, 9 I 4.03-4.22
10 Cu 0.0766 0.1532 0.2823  3 I 2.53-2.54
11 Cu 0.9234 0.8468 0.7177  3 I 2.53-2.54

=====

Record 19
A plane-wave DFT calculation with PBE was carried out for a relaxed LiMn2PbCl8 crystal.

Values from the calculation:
* energy relative to the elements, uncorrected: -1.14 eV per atom
* electronic total energy: -4.369 eV per atom

a = 6.1832 Å, b = 6.1260 Å, c = 8.4653 Å
α = 95.77°, β = 95.70°, γ = 82.75°
Closest atoms and distances in Å follow each position.
Atoms (fractional coordinates):
1 Cl 0.7924 0.2115 0.7786  1 Mn 2.38, 1 Li 2.54
2 Cl 0.3256 0.3080 0.0098  2 Mn 2.42-2.46
3 Cl 0.8058 0.2242 0.2239  1 Mn 2.38, 1 Li 2.54
4 Cl 0.6744 0.6920 0.9902  2 Mn 2.42-2.46
5 Cl 0.2076 0.7885 0.2214  1 Mn 2.38, 1 Li 2.54
6 Cl 0.1942 0.7758 0.7761  1 Mn 2.38, 1 Li 2.54
7 Cl 0.6741 0.6913 0.4519  1 Mn 2.34
8 Cl 0.3259 0.3087 0.5481  1 Mn 2.34
9 Mn 0.5301 0.5319 0.2078  5 Cl 2.34-2.46
10 Mn 0.4699 0.4681 0.7922  5 Cl 2.34-2.46
11 Pb 0.0000 0.0000 0.5000  6 Cl 2.91
12 Li 0.0000 0.0000 0.0000  4 Cl 2.54

=====

Record 20
A plane-wave DFT calculation with PBE was carried out for a relaxed Ba2Na2Cd crystal.

Values from the calculation:
* calculated formation energy: -0.1508 eV/atom
* electronic total energy: -1.631 eV per atom

a = 4.3243 Å, b = 4.3243 Å, c = 11.8758 Å
α = 100.49°, β = 100.49°, γ = 90.00°
Closest atoms and distances in Å follow each position.
Atoms (fractional coordinates):
1 Na 0.2094 0.2094 0.4189  4 Na 3.58
2 Na 0.7906 0.7906 0.5811  4 Na 3.58
3 Cd 0.0000 0.0000 0.0000  8 Ba 3.66
4 Ba 0.5879 0.5879 0.1757  4 Cd 3.66, 1 Ba 4.03
5 Ba 0.4121 0.4121 0.8243  4 Cd 3.66, 1 Ba 4.03